# Hf2Tl2Ga, relaxed, DFT PBE-GGA
# total energy = -5.204 eV/atom
# energy relative to the elements = 0.329 eV per atom
# polymorph energy (0 for the lowest one) = 0.241 eV/atom
data_Hf2Tl2Ga
_space_group_name_H-M_alt 'P 4/m b m'
_space_group_IT_number 127
_space_group_name_Hall '-P 4 2ab'
_cell_length_a 8.668
_cell_length_b 8.668
_cell_length_c 3.211
_cell_angle_alpha 90.00
_cell_angle_beta 90.00
_cell_angle_gamma 90.00
loop_
_atom_site_label
_atom_site_type_symbol
_atom_site_fract_x
_atom_site_fract_y
_atom_site_fract_z
Hf1 Hf 0.127 0.373 0.000
Tl1 Tl 0.171 0.671 0.500
Ga1 Ga 0.000 0.000 0.500

=====

# Hf2TlGa2, relaxed, DFT PBE-GGA
# total energy = -5.748 eV/atom
# energy relative to the elements = -0.083 eV per atom
# polymorph energy (0 for the lowest one) = 0.007 eV/atom
data_Hf2TlGa2
_space_group_name_H-M_alt 'P 4/m b m'
_space_group_IT_number 127
_space_group_name_Hall '-P 4 2ab'
_cell_length_a 8.030
_cell_length_b 8.030
_cell_length_c 3.269
_cell_angle_alpha 90.00
_cell_angle_beta 90.00
_cell_angle_gamma 90.00
loop_
_atom_site_label
_atom_site_type_symbol
_atom_site_fract_x
_atom_site_fract_y
_atom_site_fract_z
Hf1 Hf 0.132 0.368 0.000
Tl1 Tl 0.000 0.000 0.000
Ga1 Ga 0.168 0.668 0.500